# Te2OsCl

A PBEsol-optimized structure of Te2OsCl (SCAN, Alexandria).

Results
Excess energy over the best structure of this formula in the dataset: 0.769 eV/f.u.
Energy relative to the elements, uncorrected: 305 meV per atom

Cell: 3.234 3.234 9.084 Å, 90.00 90.00 90.00°
Positions (direct):
1 Te 0.000 0.000 0.000
2 Te 0.500 0.500 0.432
3 Os 0.500 0.500 0.148
4 Cl 0.000 0.000 0.676



# Te2OsCl

A PBEsol-optimized structure of Te2OsCl (SCAN, Alexandria).

Results
Excess energy over the best structure of this formula in the dataset: 0.000 eV/f.u.
Energy relative to the elements, uncorrected: 113 meV per atom

Cell: 5.112 3.668 6.196 Å, 90.00 114.16 90.00°
Positions (direct):
1 Te 0.000 0.000 0.000
2 Te 0.282 0.500 0.565
3 Os 0.432 0.000 0.862
4 Cl 0.588 0.500 0.177



# TlOsCl2

A PBEsol-optimized structure of TlOsCl2 (SCAN, Alexandria).

Results
Excess energy over the best structure of this formula in the dataset: 0.412 eV/f.u.
Energy relative to the elements, uncorrected: 143 meV per atom

Cell: 6.126 6.126 6.126 Å, 150.85 129.99 58.94°
Positions (direct):
1 Tl 0.000 0.000 0.000
2 Os 0.500 0.500 0.000
3 Cl 0.329 0.829 0.500
4 Cl 0.671 0.171 0.500



# TlOsCl2

A PBEsol-optimized structure of TlOsCl2 (SCAN, Alexandria).

Results
Excess energy over the best structure of this formula in the dataset: 0.000 eV/f.u.
Energy relative to the elements, uncorrected: 39 meV per atom

Cell: 5.474 5.474 5.678 Å, 117.62 117.62 37.36°
Positions (direct):
1 Tl 0.000 0.000 0.000
2 Os 0.270 0.270 0.006
3 Cl 0.668 0.668 0.692
4 Cl 0.843 0.843 0.322



# TlOsCl2

A PBEsol-optimized structure of TlOsCl2 (SCAN, Alexandria).

Results
Excess energy over the best structure of this formula in the dataset: 2.317 eV/f.u.
Energy relative to the elements, uncorrected: 619 meV per atom

Cell: 3.113 3.113 8.435 Å, 90.00 90.00 90.00°
Positions (direct):
1 Tl 0.000 0.000 0.000
2 Os 0.000 0.000 0.500
3 Cl 0.500 0.500 0.306
4 Cl 0.500 0.500 0.694



# TlOsCl2

A PBEsol-optimized structure of TlOsCl2 (SCAN, Alexandria).

Results
Excess energy over the best structure of this formula in the dataset: 0.941 eV/f.u.
Energy relative to the elements, uncorrected: 275 meV per atom

Cell: 3.222 3.222 9.423 Å, 90.00 90.00 124.27°
Positions (direct):
1 Tl 0.000 0.000 0.000
2 Os 0.000 0.000 0.500
3 Cl 0.500 0.500 0.307
4 Cl 0.500 0.500 0.693



# TlOsCl2

A PBEsol-optimized structure of TlOsCl2 (SCAN, Alexandria).

Results
Excess energy over the best structure of this formula in the dataset: 1.403 eV/f.u.
Energy relative to the elements, uncorrected: 390 meV per atom

Cell: 3.323 3.323 8.848 Å, 90.00 90.00 121.17°
Positions (direct):
1 Tl 0.000 0.000 0.000
2 Os 0.500 0.500 0.754
3 Cl 0.000 0.000 0.571
4 Cl 0.500 0.500 0.232



# Os2WCl

A PBEsol-optimized structure of Os2WCl (SCAN, Alexandria).

Results
Excess energy over the best structure of this formula in the dataset: 0.496 eV/f.u.
Energy relative to the elements, uncorrected: 921 meV per atom

Cell: 5.179 5.179 5.179 Å, 148.31 128.83 61.45°
Positions (direct):
1 Os 0.232 0.232 0.000
2 Os 0.768 0.768 0.000
3 W 0.500 0.000 0.500
4 Cl 0.000 0.500 0.500



# OsW2Cl

A PBEsol-optimized structure of OsW2Cl (SCAN, Alexandria).

Results
Excess energy over the best structure of this formula in the dataset: 1.223 eV/f.u.
Energy relative to the elements, uncorrected: 736 meV per atom

Cell: 2.799 2.799 8.939 Å, 90.00 90.00 118.49°
Positions (direct):
1 Os 0.000 0.000 0.000
2 W 0.500 0.500 0.249
3 W 0.500 0.500 0.751
4 Cl 0.000 0.000 0.500



# OsW2Cl

A PBEsol-optimized structure of OsW2Cl (SCAN, Alexandria).

Results
Excess energy over the best structure of this formula in the dataset: 0.000 eV/f.u.
Energy relative to the elements, uncorrected: 430 meV per atom

Cell: 8.728 8.728 8.728 Å, 18.67 18.67 18.67°
Positions (direct):
1 Os 0.000 0.000 0.000
2 W 0.249 0.249 0.249
3 W 0.751 0.751 0.751
4 Cl 0.500 0.500 0.500



# Os2WCl

A PBEsol-optimized structure of Os2WCl (SCAN, Alexandria).

Results
Excess energy over the best structure of this formula in the dataset: 0.080 eV/f.u.
Energy relative to the elements, uncorrected: 817 meV per atom

Cell: 2.823 4.048 5.188 Å, 90.00 104.96 90.00°
Positions (direct):
1 Os 0.135 0.000 0.261
2 Os 0.865 0.000 0.739
3 W 0.500 0.500 0.000
4 Cl 0.500 0.500 0.500



# Os2WCl

A PBEsol-optimized structure of Os2WCl (SCAN, Alexandria).

Results
Excess energy over the best structure of this formula in the dataset: 0.000 eV/f.u.
Energy relative to the elements, uncorrected: 797 meV per atom

Cell: 2.792 2.792 8.880 Å, 90.00 90.00 118.97°
Positions (direct):
1 Os 0.000 0.000 0.247
2 Os 0.000 0.000 0.753
3 W 0.500 0.500 0.000
4 Cl 0.500 0.500 0.500